No. 1
{
  "formula": "Na3Mg2Cd7",
  "functional": "PBE",
  "state": "optimized geometry",
  "sg": "P2/m",
  "density_g_cm3": 4.86,
  "polymorph_energy_ev_per_atom": 0.069,
  "e_form_mev_per_atom": -10.7,
  "lattice_angstrom": [[4.748, 0.000, 0.000], [0.000, 4.024, 0.000], [-2.106, 0.000, 16.167]],
  "species": ["Na", "Na", "Na", "Mg", "Mg", "Cd", "Cd", "Cd", "Cd", "Cd", "Cd", "Cd"],
  "frac_coords": [[0.000, 0.000, 0.000], [0.315, 0.500, 0.633], [0.685, 0.500, 0.367], [0.138, 0.000, 0.274], [0.862, 0.000, 0.726], [0.071, 0.500, 0.143], [0.228, 0.000, 0.450], [0.419, 0.000, 0.843], [0.500, 0.500, 0.000], [0.581, 0.000, 0.157], [0.772, 0.000, 0.550], [0.929, 0.500, 0.857]]
}

---

No. 2
{
  "formula": "Na3Mg5Cd12",
  "functional": "PBE",
  "state": "optimized geometry",
  "sg": "Ia-3d",
  "density_g_cm3": 4.08,
  "e_form_mev_per_atom": 236.7,
  "lattice_angstrom": [[-8.559, 8.559, 8.559], [8.559, -8.559, 8.559], [8.559, 8.559, -8.559]],
  "species": ["Na", "Na", "Na", "Na", "Na", "Na", "Na", "Na", "Na", "Na", "Na", "Na", "Mg", "Mg", "Mg", "Mg", "Mg", "Mg", "Mg", "Mg", "Mg", "Mg", "Mg", "Mg", "Mg", "Mg", "Mg", "Mg", "Mg", "Mg", "Mg", "Mg", "Cd", "Cd", "Cd", "Cd", "Cd", "Cd", "Cd", "Cd", "Cd", "Cd", "Cd", "Cd", "Cd", "Cd", "Cd", "Cd", "Cd", "Cd", "Cd", "Cd", "Cd", "Cd", "Cd", "Cd", "Cd", "Cd", "Cd", "Cd", "Cd", "Cd", "Cd", "Cd", "Cd", "Cd", "Cd", "Cd", "Cd", "Cd", "Cd", "Cd", "Cd", "Cd", "Cd", "Cd", "Cd", "Cd", "Cd", "Cd"],
  "frac_coords": [[0.125, 0.250, 0.375], [0.125, 0.375, 0.750], [0.250, 0.375, 0.125], [0.250, 0.875, 0.625], [0.375, 0.125, 0.250], [0.375, 0.750, 0.125], [0.625, 0.250, 0.875], [0.625, 0.875, 0.750], [0.750, 0.125, 0.375], [0.750, 0.625, 0.875], [0.875, 0.625, 0.250], [0.875, 0.750, 0.625], [0.000, 0.000, 0.000], [0.000, 0.000, 0.500], [0.000, 0.500, 0.000], [0.000, 0.500, 0.500], [0.125, 0.750, 0.875], [0.125, 0.875, 0.250], [0.250, 0.125, 0.875], [0.250, 0.625, 0.375], [0.375, 0.250, 0.625], [0.375, 0.625, 0.750], [0.500, 0.000, 0.000], [0.500, 0.000, 0.500], [0.500, 0.500, 0.000], [0.500, 0.500, 0.500], [0.625, 0.375, 0.250], [0.625, 0.750, 0.375], [0.750, 0.375, 0.625], [0.750, 0.875, 0.125], [0.875, 0.125, 0.750], [0.875, 0.250, 0.125], [0.068, 0.227, 0.145], [0.068, 0.340, 0.922], [0.078, 0.645, 0.418], [0.078, 0.932, 0.660], [0.082, 0.727, 0.660], [0.082, 0.855, 0.422], [0.145, 0.068, 0.227], [0.145, 0.578, 0.918], [0.160, 0.227, 0.582], [0.160, 0.432, 0.578], [0.227, 0.145, 0.068], [0.227, 0.582, 0.160], [0.273, 0.340, 0.918], [0.273, 0.432, 0.355], [0.340, 0.918, 0.273], [0.340, 0.922, 0.068], [0.355, 0.273, 0.432], [0.355, 0.582, 0.922], [0.418, 0.078, 0.645], [0.418, 0.840, 0.773], [0.422, 0.082, 0.855], [0.422, 0.840, 0.568], [0.432, 0.355, 0.273], [0.432, 0.578, 0.160], [0.568, 0.422, 0.840], [0.568, 0.645, 0.727], [0.578, 0.160, 0.432], [0.578, 0.918, 0.145], [0.582, 0.160, 0.227], [0.582, 0.922, 0.355], [0.645, 0.418, 0.078], [0.645, 0.727, 0.568], [0.660, 0.078, 0.932], [0.660, 0.082, 0.727], [0.727, 0.568, 0.645], [0.727, 0.660, 0.082], [0.773, 0.418, 0.840], [0.773, 0.855, 0.932], [0.840, 0.568, 0.422], [0.840, 0.773, 0.418], [0.855, 0.422, 0.082], [0.855, 0.932, 0.773], [0.918, 0.145, 0.578], [0.918, 0.273, 0.340], [0.922, 0.068, 0.340], [0.922, 0.355, 0.582], [0.932, 0.660, 0.078], [0.932, 0.773, 0.855]]
}